# 1
Computed, not measured: an optimized crystal structure of BaCd2Au at the PBE level of DFT.

```
data_BaCd2Au
_symmetry_space_group_name_H-M 'P 1 m 1'
_symmetry_Int_Tables_number 6
_cell_length_a 4.1061
_cell_length_b 4.5127
_cell_length_c 6.8466
_cell_angle_alpha 90.00
_cell_angle_beta 106.97
_cell_angle_gamma 90.00
loop_
_symmetry_equiv_pos_as_xyz
'x,y,z'
'x,-y,z'
loop_
_atom_site_label
_atom_site_type_symbol
_atom_site_fract_x
_atom_site_fract_y
_atom_site_fract_z
_atom_site_occupancy
Ba1 Ba 0.0000 0.0000 0.0000 1
Cd1 Cd 0.2664 0.0000 0.5218 1
Cd2 Cd 0.7037 0.5000 0.3962 1
Au1 Au 0.3947 0.5000 0.7823 1
```

## Properties
energy of formation = -335 meV/atom
uncorrected energy = -2.092 eV per atom
density = 7.7 g/cm3

=====

# 2
Computed, not measured: an optimized crystal structure of LiHfAsBr2 at the PBE level of DFT.

```
data_LiHfAsBr2
_symmetry_space_group_name_H-M 'P 4/m m m'
_symmetry_Int_Tables_number 123
_symmetry_space_group_name_Hall '-P 4 2'
_cell_length_a 5.3534
_cell_length_b 5.3534
_cell_length_c 5.1926
_cell_angle_alpha 90.00
_cell_angle_beta 90.00
_cell_angle_gamma 90.00
loop_
_atom_site_label
_atom_site_type_symbol
_atom_site_fract_x
_atom_site_fract_y
_atom_site_fract_z
_atom_site_occupancy
Li1 Li 0.0000 0.0000 0.0000 1
Hf1 Hf 0.5000 0.5000 0.5000 1
As1 As 0.5000 0.5000 0.0000 1
Br1 Br 0.0000 0.5000 0.5000 1
```

## Properties
formation energy (no corrections) = -59 kJ/mol of atoms
uncorrected energy = -4.588 eV per atom
density = 4.7 g/cm3